(1)
4
Lattice="0.0000 3.2164 3.2164 3.2164 0.0000 3.2164 3.2164 3.2164 0.0000" Properties=species:S:1:pos:R:3 comment="PBEsol Cu2SiTe, relaxed" space_group="F-43m (216)" energy_ev_per_atom=-3.92 formation_energy_uncorrected_mev_per_atom=566 magnetic_moment_mub_per_cell=0.00 polymorph_energy_mev_per_atom=170 pbc="T T T"
Cu 0.0000 0.0000 0.0000
Cu 1.6082 1.6082 1.6082
Si 4.8246 4.8246 4.8246
Te 3.2164 3.2164 3.2164

***

(2)
4
Lattice="2.8649 0.0000 0.0000 0.0000 3.5571 0.0000 -0.3918 0.0000 5.7395" Properties=species:S:1:pos:R:3 comment="PBEsol Ta2FeRh, relaxed" space_group="P2/m (10)" energy_ev_per_atom=-10.78 formation_enthalpy_0k_ev_per_atom=-0.232 magnetic_moment_mub_per_cell=0.00 pbc="T T T"
Ta 0.0089 0.0000 1.5044
Ta 2.4642 0.0000 4.2351
Fe 1.2366 1.7785 2.8698
Rh 1.4325 1.7785 0.0000

***

(3)
5
Lattice="4.8557 0.0000 0.0000 0.0000 4.8557 0.0000 0.0000 0.0000 4.8557" Properties=species:S:1:pos:R:3 comment="PBEsol HfTlZn3, relaxed" space_group="Pm-3m (221)" energy_ev_per_atom=-2.52 formation_enthalpy_0k_ev_per_atom=1.056 magnetic_moment_mub_per_cell=0.00 pbc="T T T"
Hf 0.0000 0.0000 0.0000
Tl 2.4279 2.4279 2.4279
Zn 0.0000 2.4279 2.4279
Zn 2.4279 0.0000 2.4279
Zn 2.4279 2.4279 0.0000

***

(4)
5
Lattice="3.5455 0.0000 0.0000 0.0000 3.5455 0.0000 0.0000 0.0000 3.5455" Properties=species:S:1:pos:R:3 comment="PBEsol ScTaH3, relaxed" space_group="Pm-3m (221)" energy_ev_per_atom=-5.65 magnetic_moment_mub_per_cell=0.00 polymorph_energy_mev_per_atom=376 pbc="T T T"
Sc 0.0000 0.0000 0.0000
Ta 1.7728 1.7728 1.7728
H 0.0000 0.0000 1.7728
H 0.0000 1.7728 0.0000
H 1.7728 0.0000 0.0000

***

(5)
4
Lattice="-1.5991 2.2135 4.5576 1.5991 -2.2135 4.5576 1.5991 2.2135 -4.5576" Properties=species:S:1:pos:R:3 comment="PBEsol TlRe2Mo, relaxed" space_group="Imm2 (44)" energy_ev_per_atom=-9.55 formation_enthalpy_0k_ev_per_atom=0.716 magnetic_moment_mub_per_cell=0.00 polymorph_energy_mev_per_atom=208 pbc="T T T"
Tl 0.0000 0.0000 0.0000
Re 0.0000 0.0000 4.6043
Re 0.0000 2.2135 2.2222
Mo 1.5991 0.0000 2.3665

***

(6)
4
Lattice="1.4081 0.8130 9.2493 -1.4081 0.8130 9.2493 0.0000 -1.6260 9.2493" Properties=species:S:1:pos:R:3 comment="PBEsol TlRe2Rh, relaxed" space_group="R-3m (166)" energy_ev_per_atom=-8.77 formation_enthalpy_0k_ev_per_atom=0.587 magnetic_moment_mub_per_cell=0.00 polymorph_energy_mev_per_atom=278 pbc="T T T"
Tl 0.0000 0.0000 0.0000
Re 0.0000 0.0000 6.7451
Re 0.0000 0.0000 21.0027
Rh 0.0000 0.0000 13.8739

***

(7)
40
Lattice="15.4493 0.0000 0.0000 0.0000 5.3899 0.0000 0.0000 0.0000 5.5073" Properties=species:S:1:pos:R:3 comment="PBEsol Na3DyTi2Nb2O12, relaxed" space_group="Pmc2_1 (26)" energy_ev_per_atom=-8.28 formation_energy_uncorrected_mev_per_atom=-2754 magnetic_moment_mub_per_cell=0.00 polymorph_energy_mev_per_atom=0 pbc="T T T"
Na 0.0000 1.3197 0.0000
Na 0.0000 4.0703 2.7536
Na 3.9223 1.3565 5.2496
Na 3.9223 4.0334 2.4960
Na 11.5269 1.3565 5.2496
Na 11.5269 4.0334 2.4960
Dy 7.7246 1.4213 0.2123
Dy 7.7246 3.9686 2.9659
Ti 5.7870 1.2728 2.7414
Ti 5.7870 4.1171 5.4951
Ti 9.6623 1.2728 2.7414
Ti 9.6623 4.1171 5.4951
Nb 1.9795 1.3671 2.5878
Nb 1.9795 4.0228 5.3414
Nb 13.4698 1.3671 2.5878
Nb 13.4698 4.0228 5.3414
O 0.0000 1.0324 2.5715
O 0.0000 4.3575 5.3251
O 1.7319 2.3826 4.3341
O 1.7319 3.0073 1.5804
O 2.2165 0.2857 0.9952
O 2.2165 5.1043 3.7489
O 3.9480 1.6889 2.7406
O 3.9480 3.7011 5.4942
O 5.6572 0.3080 0.9220
O 5.6572 5.0819 3.6757
O 6.2964 2.4521 4.1664
O 6.2964 2.9378 1.4128
O 7.7246 0.8299 2.4345
O 7.7246 4.5601 5.1881
O 9.1529 2.4521 4.1664
O 9.1529 2.9378 1.4128
O 9.7921 0.3080 0.9220
O 9.7921 5.0819 3.6757
O 11.5013 1.6889 2.7406
O 11.5013 3.7011 5.4942
O 13.2328 0.2857 0.9952
O 13.2328 5.1043 3.7489
O 13.7174 2.3826 4.3341
O 13.7174 3.0073 1.5804

***

(8)
4
Lattice="-2.2781 2.2781 5.3858 2.2781 -2.2781 5.3858 2.2781 2.2781 -5.3858" Properties=species:S:1:pos:R:3 comment="PBEsol PaBi3, relaxed" space_group="I4/mmm (139)" energy_ev_per_atom=-5.92 formation_enthalpy_0k_ev_per_atom=-0.145 magnetic_moment_mub_per_cell=0.00 pbc="T T T"
Pa 0.0000 0.0000 0.0000
Bi 2.2781 0.0000 2.6929
Bi 0.0000 0.0000 5.3858
Bi 0.0000 2.2781 2.6929

***

(9)
40
Lattice="6.3807 0.0000 0.0000 1.3213 6.3694 0.0000 0.1640 0.4755 8.2055" Properties=species:S:1:pos:R:3 comment="PBEsol CaB3H7O9, relaxed" space_group="P-1 (2)" energy_ev_per_atom=-6.53 magnetic_moment_mub_per_cell=0.00 pbc="T T T"
Ca 2.2223 3.1645 0.9910
Ca 5.6437 3.6803 7.2144
B 1.4672 1.7199 7.1146
B 2.7851 3.7855 6.2196
B 3.5020 1.4310 5.7315
B 4.3640 5.4139 2.4740
B 5.0809 3.0594 1.9858
B 6.3988 5.1250 1.0908
H 0.7846 2.3278 3.2594
H 1.6441 5.6738 2.3425
H 0.9883 0.2543 0.7015
H 2.0949 3.0676 3.8754
H 2.8165 5.0735 4.5008
H 2.1904 0.7654 3.2752
H 3.5261 5.6699 6.8393
H 4.3400 1.1750 1.3661
H 5.6757 6.0795 4.9302
H 5.0495 1.7714 3.7046
H 5.7712 3.7773 4.3301
H 6.8778 6.5906 7.5040
H 6.2219 1.1711 5.8629
H 7.0814 4.5170 4.9461
O 1.4409 5.4286 1.4141
O 1.6658 3.1699 6.9189
O 1.5059 1.0264 0.3267
O 1.8088 2.3557 3.2241
O 2.2608 4.4020 4.9845
O 2.3572 0.8927 6.2574
O 3.4460 6.1271 3.2226
O 3.4696 4.7154 7.1417
O 3.8117 2.7605 5.8879
O 4.0544 4.0843 2.3175
O 4.3965 2.1295 1.0638
O 4.4200 0.7178 4.9829
O 5.5088 5.9522 1.9481
O 5.6052 2.4428 3.2209
O 6.0572 4.4891 4.9814
O 6.3602 5.8185 7.8787
O 6.2002 3.6750 1.2865
O 6.4251 1.4163 6.7914

***

(10)
8
Lattice="3.9359 0.0000 0.0000 0.0000 3.9359 0.0000 0.0000 0.0000 8.9869" Properties=species:S:1:pos:R:3 comment="PBEsol LaBi2ClO4, relaxed" space_group="P4/mmm (123)" energy_ev_per_atom=-6.64 formation_energy_uncorrected_mev_per_atom=-2027 magnetic_moment_mub_per_cell=0.00 pbc="T T T"
La 0.0000 0.0000 0.0000
Bi 1.9679 1.9679 2.5795
Bi 1.9679 1.9679 6.4074
Cl 0.0000 0.0000 4.4935
O 0.0000 1.9679 1.4993
O 0.0000 1.9679 7.4877
O 1.9679 0.0000 1.4993
O 1.9679 0.0000 7.4877

***

(11)
4
Lattice="4.1960 0.0000 0.0000 0.0000 4.4718 0.0000 0.0000 0.0000 5.1483" Properties=species:S:1:pos:R:3 comment="PBEsol LaMg2Cr, relaxed" space_group="Pmmm (47)" energy_ev_per_atom=-4.39 formation_enthalpy_0k_ev_per_atom=0.368 magnetic_moment_mub_per_cell=3.90 pbc="T T T"
La 0.0000 0.0000 0.0000
Mg 0.0000 2.2359 2.5741
Mg 2.0980 0.0000 2.5741
Cr 2.0980 2.2359 0.0000

***

(12)
3
Lattice="-1.7043 1.7497 6.1670 1.7043 -1.7497 6.1670 1.7043 1.7497 -6.1670" Properties=species:S:1:pos:R:3 comment="PBEsol BaInRh, relaxed" space_group="Imm2 (44)" energy_ev_per_atom=-4.64 formation_enthalpy_0k_ev_per_atom=-0.217 magnetic_moment_mub_per_cell=0.00 pbc="T T T"
Ba 0.0000 0.0000 0.0000
In 0.0000 0.0000 3.4591
Rh 0.0000 0.0000 8.4117

***

(13)
4
Lattice="-1.4357 2.1672 6.2650 1.4357 -2.1672 6.2650 1.4357 2.1672 -6.2650" Properties=species:S:1:pos:R:3 comment="PBEsol TcRuCl2, relaxed" space_group="Immm (71)" energy_ev_per_atom=-5.95 formation_energy_uncorrected_mev_per_atom=419 magnetic_moment_mub_per_cell=0.39 polymorph_energy_mev_per_atom=0 pbc="T T T"
Tc 0.0000 0.0000 0.0000
Ru 0.0000 0.0000 6.2650
Cl 1.4357 0.0000 1.8951
Cl 0.0000 2.1672 4.3700

***

(14)
3
Lattice="4.8103 0.0000 0.0000 -2.4052 4.1659 0.0000 0.0000 0.0000 4.6127" Properties=species:S:1:pos:R:3 comment="PBEsol BaAgTe, relaxed" space_group="P-6m2 (187)" energy_ev_per_atom=-3.79 formation_energy_uncorrected_mev_per_atom=-795 magnetic_moment_mub_per_cell=0.42 polymorph_energy_mev_per_atom=0 pbc="T T T"
Ba 0.0000 0.0000 0.0000
Ag 2.4052 1.3886 2.3064
Te 0.0000 2.7772 2.3064

***

(15)
5
Lattice="4.8194 0.0000 0.0000 0.0000 4.8194 0.0000 0.0000 0.0000 5.7466" Properties=species:S:1:pos:R:3 comment="PBEsol NbBiMoBr2, relaxed" space_group="P4/mmm (123)" energy_ev_per_atom=-5.08 formation_energy_uncorrected_mev_per_atom=1044 magnetic_moment_mub_per_cell=4.56 pbc="T T T"
Nb 0.0000 0.0000 0.0000
Bi 2.4097 2.4097 0.0000
Mo 2.4097 2.4097 2.8733
Br 0.0000 2.4097 2.8733
Br 2.4097 0.0000 2.8733

***

(16)
4
Lattice="4.4779 0.0000 0.0000 0.0000 4.4779 0.0000 0.0000 0.0000 4.5243" Properties=species:S:1:pos:R:3 comment="PBEsol CaSc2Mn, relaxed" space_group="P4/mmm (123)" energy_ev_per_atom=-5.85 formation_enthalpy_0k_ev_per_atom=0.422 magnetic_moment_mub_per_cell=2.19 polymorph_energy_mev_per_atom=0 pbc="T T T"
Ca 0.0000 0.0000 0.0000
Sc 0.0000 2.2389 2.2622
Sc 2.2389 0.0000 2.2622
Mn 2.2389 2.2389 0.0000

***

(17)
4
Lattice="1.4370 -2.3429 0.0000 1.4370 2.3429 0.0000 0.0000 0.0000 9.0204" Properties=species:S:1:pos:R:3 comment="PBEsol Re2SiAu, relaxed" space_group="Cmm2 (35)" energy_ev_per_atom=-8.71 formation_energy_uncorrected_mev_per_atom=370 magnetic_moment_mub_per_cell=0.00 pbc="T T T"
Re 0.0000 0.0000 0.0000
Re 1.4370 0.0000 2.1553
Si 1.4370 0.0000 6.9639
Au 0.0000 0.0000 4.6695

***

(18)
4
Lattice="1.5219 -2.9389 0.0000 1.5219 2.9389 0.0000 0.0000 0.0000 8.8745" Properties=species:S:1:pos:R:3 comment="PBEsol BeHg3, relaxed" space_group="Cmmm (65)" energy_ev_per_atom=-1.15 formation_enthalpy_0k_ev_per_atom=0.271 magnetic_moment_mub_per_cell=0.00 pbc="T T T"
Be 0.0000 0.0000 0.0000
Hg 0.0000 0.0000 4.4372
Hg 1.5219 0.0000 1.8901
Hg 1.5219 0.0000 6.9844

***

(19)
5
Lattice="5.0669 0.0000 0.0000 0.0000 5.0669 0.0000 0.0000 0.0000 4.8659" Properties=species:S:1:pos:R:3 comment="PBEsol MgCd2GeMo, relaxed" space_group="P4/mmm (123)" energy_ev_per_atom=-3.00 formation_enthalpy_0k_ev_per_atom=1.168 magnetic_moment_mub_per_cell=4.24 pbc="T T T"
Mg 0.0000 0.0000 0.0000
Cd 0.0000 2.5335 2.4329
Cd 2.5335 0.0000 2.4329
Ge 0.0000 0.0000 2.4329
Mo 2.5335 2.5335 0.0000

***

(20)
5
Lattice="4.9868 0.0000 0.0000 0.0000 4.9868 0.0000 0.0000 0.0000 4.9868" Properties=species:S:1:pos:R:3 comment="PBEsol CaSc3Mn, relaxed" space_group="Pm-3m (221)" energy_ev_per_atom=-4.92 formation_enthalpy_0k_ev_per_atom=1.421 magnetic_moment_mub_per_cell=4.89 polymorph_energy_mev_per_atom=1276 pbc="T T T"
Ca 0.0000 0.0000 0.0000
Sc 0.0000 0.0000 2.4934
Sc 0.0000 2.4934 0.0000
Sc 2.4934 0.0000 0.0000
Mn 2.4934 2.4934 2.4934